Entry 1:
LaZnAu4, optimized geometry, DFT GGA-PBE; E above lowest polymorph = 3.79 kcal/mol of atoms; calculated total energy = -3.539 eV per atom; volume = 23.80 Å³/atom; energy of formation from the pure elements = -1.926 eV/f.u.; crystal system = tetragonal; magnetization = 0.0 μB per formula unit
1.0
4.4122 0.0000 0.0000
0.0000 4.4122 0.0000
0.0000 0.0000 7.3346
La Zn Au
1 1 4
Direct
0.0000 0.0000 0.0000 La
0.5000 0.5000 0.5000 Zn
0.5000 0.0000 0.7046 Au
0.0000 0.5000 0.7046 Au
0.5000 0.0000 0.2954 Au
0.0000 0.5000 0.2954 Au

***

Entry 2:
La2Zn12Au7, optimized geometry, DFT GGA-PBE; calculated total energy = -2.650 eV per atom; volume = 19.17 Å³/atom; energy of formation from the pure elements = -7.574 eV/f.u.; crystal system = trigonal; magnetization = 0.0 μB per formula unit
1.0
-3.5736 -1.5387 -1.6405
3.5753 -9.7671 1.3725
-5.5070 4.6865 7.6007
La Zn Au
2 12 7
Direct
0.2472 0.3333 0.6667 La
0.7528 0.6667 0.3333 La
0.2503 0.6171 0.0477 Zn
0.2503 0.4306 0.3829 Zn
0.2503 0.9523 0.5694 Zn
0.7497 0.3829 0.9523 Zn
0.7497 0.5694 0.6171 Zn
0.7497 0.0477 0.4306 Zn
0.2408 0.1206 0.2627 Zn
0.2408 0.1421 0.8794 Zn
0.2408 0.7373 0.8579 Zn
0.7592 0.8794 0.7373 Zn
0.7592 0.8579 0.1206 Zn
0.7592 0.2627 0.1421 Zn
0.5000 0.0000 0.0000 Au
0.2509 0.8782 0.2888 Au
0.2509 0.4107 0.1218 Au
0.2509 0.7112 0.5893 Au
0.7491 0.1218 0.7112 Au
0.7491 0.5893 0.8782 Au
0.7491 0.2888 0.4107 Au

***

What did the first record say?
LaZnAu4, optimized geometry, DFT GGA-PBE; E above lowest polymorph = 3.79 kcal/mol of atoms; calculated total energy = -3.539 eV per atom; volume = 23.80 Å³/atom; energy of formation from the pure elements = -1.926 eV/f.u.; crystal system = tetragonal; magnetization = 0.0 μB per formula unit
1.0
4.4122 0.0000 0.0000
0.0000 4.4122 0.0000
0.0000 0.0000 7.3346
La Zn Au
1 1 4
Direct
0.0000 0.0000 0.0000 La
0.5000 0.5000 0.5000 Zn
0.5000 0.0000 0.7046 Au
0.0000 0.5000 0.7046 Au
0.5000 0.0000 0.2954 Au
0.0000 0.5000 0.2954 Au

***

Copy entry 1 word for word.
LaZnAu4, optimized geometry, DFT GGA-PBE; E above lowest polymorph = 3.79 kcal/mol of atoms; calculated total energy = -3.539 eV per atom; volume = 23.80 Å³/atom; energy of formation from the pure elements = -1.926 eV/f.u.; crystal system = tetragonal; magnetization = 0.0 μB per formula unit
1.0
4.4122 0.0000 0.0000
0.0000 4.4122 0.0000
0.0000 0.0000 7.3346
La Zn Au
1 1 4
Direct
0.0000 0.0000 0.0000 La
0.5000 0.5000 0.5000 Zn
0.5000 0.0000 0.7046 Au
0.0000 0.5000 0.7046 Au
0.5000 0.0000 0.2954 Au
0.0000 0.5000 0.2954 Au